No. 1
A plane-wave DFT calculation with PBE was carried out for Cs2Pm2SnS6 after structural relaxation.

Cell: 7.015 7.015 8.641 Å, 98.17 98.17 119.55°
Element x y z (fractional)
S (0.063, 0.375, 0.679)
S (0.245, 0.245, 0.324)
Cs (0.829, 0.171, 0.000)
Sn (0.000, 0.000, 0.500)
S (0.937, 0.625, 0.321)
S (0.375, 0.063, 0.679)
S (0.625, 0.937, 0.321)
Cs (0.171, 0.829, 0.000)
Pm (0.667, 0.333, 0.500)
Pm (0.333, 0.667, 0.500)
S (0.755, 0.755, 0.676)

Summary:
**Crystal system**: monoclinic
**Raw total energy**: -55.51 eV/cell

No. 2
A plane-wave DFT calculation with PBE was carried out for Ca2Mg3Cd3 after structural relaxation.

Cell: 5.200 5.200 8.987 Å, 73.18 73.18 60.00°
Element x y z (fractional)
Cd (0.371, 0.371, 0.887)
Mg (0.249, 0.249, 0.253)
Mg (0.624, 0.624, 0.127)
Ca (0.003, 0.003, 0.991)
Mg (0.751, 0.751, 0.748)
Ca (0.497, 0.497, 0.508)
Cd (0.878, 0.878, 0.366)
Cd (0.127, 0.127, 0.620)

Summary:
**Crystal system**: trigonal
**Formation energy**: -0.21 eV/atom

No. 3
A plane-wave DFT calculation with PBE was carried out for DyY2Pb after structural relaxation.

Cell: 3.654 3.654 9.181 Å, 90.00 90.00 90.00°
Element x y z (fractional)
Y (0.000, 0.000, 0.765)
Dy (0.500, 0.500, 0.500)
Y (0.000, 0.000, 0.235)
Pb (0.500, 0.500, 0.000)

Summary:
**Distance to the lowest polymorph of the same formula**: 60 meV/atom
**Crystal system**: tetragonal
**Formation energy**: -0.22 eV/atom

No. 4
A plane-wave DFT calculation with PBE was carried out for Er2NpIn after structural relaxation.

Cell: 3.369 3.369 9.314 Å, 90.00 90.00 90.00°
Last column: magnetic moment on the atom in μB.
Element x y z (fractional)
Er (0.000, 0.000, 0.742)  0.02
In (0.500, 0.500, 0.500)  0.02
Np (0.500, 0.500, 0.000)  -3.84
Er (0.000, 0.000, 0.258)  0.02

Summary:
**Crystal system**: tetragonal
**Formation energy**: 0.04 eV/atom

No. 5
A plane-wave DFT calculation with PBE was carried out for TbNdCdRu after structural relaxation.

Cell: 5.127 5.127 5.127 Å, 60.00 60.00 60.00°
Element x y z (fractional)
Nd (0.500, 0.500, 0.500)
Tb (0.000, 0.000, 0.000)
Cd (0.250, 0.250, 0.250)
Ru (0.750, 0.750, 0.750)

Summary:
**Distance to the lowest polymorph of the same formula**: 97 meV/atom
**Crystal system**: cubic
**Formation energy**: -0.21 eV/atom

No. 6
A plane-wave DFT calculation with PBE was carried out for Na2LiMg after structural relaxation.

Cell: 3.395 3.395 11.408 Å, 82.07 82.07 59.53°
Element x y z (fractional)
Na (0.082, 0.082, 0.754)
Li (0.666, 0.666, 0.000)
Na (0.252, 0.252, 0.246)
Mg (0.499, 0.499, 0.500)

Summary:
**Crystal system**: monoclinic
**Formation energy**: 0.09 eV/atom

No. 7
A plane-wave DFT calculation with PBE was carried out for Cs3As2Au after structural relaxation.

Cell: 7.839 7.839 10.000 Å, 73.69 73.69 81.44°
Last column: magnetic moment on the atom in μB.
Element x y z (fractional)
Au (0.710, 0.290, 0.250)  0.18
Au (0.290, 0.710, 0.750)  0.18
Cs (0.157, 0.240, 0.016)  0.02
Cs (0.342, 0.658, 0.250)  0.02
Cs (0.760, 0.843, 0.484)  0.02
Cs (0.240, 0.157, 0.516)  0.02
Cs (0.658, 0.342, 0.750)  0.02
As (0.882, 0.442, 0.340)  0.33
As (0.118, 0.558, 0.660)  0.33
Cs (0.843, 0.760, 0.984)  0.02
As (0.558, 0.118, 0.160)  0.33
As (0.442, 0.882, 0.840)  0.33

Summary:
**Crystal system**: monoclinic
**Formation energy**: -0.31 eV/atom

No. 8
A plane-wave DFT calculation with PBE was carried out for Er2ThRh after structural relaxation.

Cell: 3.637 3.637 9.774 Å, 79.28 79.28 60.00°
Element x y z (fractional)
Rh (0.000, 0.000, 0.000)
Er (0.728, 0.728, 0.815)
Th (0.500, 0.500, 0.500)
Er (0.272, 0.272, 0.185)

Summary:
**Distance to the lowest polymorph of the same formula**: 219 meV/atom
**Crystal system**: trigonal
**Formation energy**: -0.30 eV/atom